1.
Density functional theory data (GGA-PBE) for an optimized crystal structure of ScBeNiSn.

Summary:
Energy above the most stable polymorph in this dataset = 0.000 eV per atom
Space group = F-43m, No. 216
VASP energy = -5.190 eV per atom

Cell and atoms, written as POSCAR:
```
ScBeNiSn
1.0
-1.111 2.425 3.507
-4.202 1.164 0.631
-2.317 -1.807 3.283
Sn Sc Be Ni
1 1 1 1
Direct
0.000 0.000 0.000 Sn
0.500 0.500 0.500 Sc
0.250 0.250 0.250 Be
0.750 0.750 0.750 Ni
```

2.
Density functional theory data (GGA-PBE) for an optimized crystal structure of ScBeTlNi.

Summary:
Energy above the most stable polymorph in this dataset = 0.117 eV per atom
Space group = F-43m, No. 216
VASP energy = -4.427 eV per atom

Cell and atoms, written as POSCAR:
```
ScBeTlNi
1.0
3.291 -1.893 -2.412
0.716 -4.433 0.262
-1.009 -2.651 -3.491
Be Ni Tl Sc
1 1 1 1
Direct
0.750 0.750 0.750 Be
0.000 0.000 0.000 Ni
0.500 0.500 0.500 Tl
0.250 0.250 0.250 Sc
```

3.
Density functional theory data (GGA-PBE) for an optimized crystal structure of ScBeTlNi.

Summary:
Energy above the most stable polymorph in this dataset = 0.000 eV per atom
Space group = F-43m, No. 216
VASP energy = -4.543 eV per atom

Cell and atoms, written as POSCAR:
```
ScBeTlNi
1.0
-0.784 -1.078 4.248
-1.424 3.103 2.858
-4.180 -0.132 1.529
Tl Ni Sc Be
1 1 1 1
Direct
0.500 0.500 0.500 Tl
0.250 0.250 0.250 Ni
0.000 0.000 0.000 Sc
0.750 0.750 0.750 Be
```

4.
Density functional theory data (GGA-PBE) for an optimized crystal structure of ScBeTlNi.

Summary:
Energy above the most stable polymorph in this dataset = 0.109 eV per atom
Space group = F-43m, No. 216
VASP energy = -4.434 eV per atom

Cell and atoms, written as POSCAR:
```
ScBeTlNi
1.0
-1.820 -3.682 -1.814
-4.000 0.237 -2.025
-0.284 -0.398 -4.463
Tl Sc Be Ni
1 1 1 1
Direct
0.000 0.000 0.000 Tl
0.250 0.250 0.250 Sc
0.500 0.500 0.500 Be
0.750 0.750 0.750 Ni
```

5.
Density functional theory data (GGA-PBE) for an optimized crystal structure of ScBeZnNi.

Summary:
Energy above the most stable polymorph in this dataset = 0.013 eV per atom
Space group = F-43m, No. 216
VASP energy = -4.434 eV per atom

Cell and atoms, written as POSCAR:
```
ScBeZnNi
1.0
2.533 0.779 3.290
-1.307 -0.864 3.923
1.725 -3.206 2.143
Be Ni Zn Sc
1 1 1 1
Direct
0.500 0.500 0.500 Be
0.750 0.750 0.750 Ni
0.000 0.000 0.000 Zn
0.250 0.250 0.250 Sc
```

6.
Density functional theory data (GGA-PBE) for an optimized crystal structure of ScBeZnNi.

Summary:
Energy above the most stable polymorph in this dataset = 0.000 eV per atom
Space group = F-43m, No. 216
VASP energy = -4.447 eV per atom

Cell and atoms, written as POSCAR:
```
ScBeZnNi
1.0
0.000 3.002 3.002
3.002 0.000 3.002
3.002 3.002 0.000
Zn Ni Sc Be
1 1 1 1
Direct
0.000 0.000 0.000 Zn
0.250 0.250 0.250 Ni
0.500 0.500 0.500 Sc
0.750 0.750 0.750 Be
```

7.
Density functional theory data (GGA-PBE) for an optimized crystal structure of ScBeZnNi.

Summary:
Energy above the most stable polymorph in this dataset = 0.026 eV per atom
Space group = F-43m, No. 216
VASP energy = -4.421 eV per atom

Cell and atoms, written as POSCAR:
```
ScBeZnNi
1.0
0.000 3.004 3.004
3.004 0.000 3.004
3.004 3.004 0.000
Ni Be Sc Zn
1 1 1 1
Direct
0.750 0.750 0.750 Ni
0.500 0.500 0.500 Be
0.000 0.000 0.000 Sc
0.250 0.250 0.250 Zn
```

8.
Density functional theory data (GGA-PBE) for an optimized crystal structure of BeSiNi.

Summary:
Energy above the most stable polymorph in this dataset = 0.000 eV per atom
Space group = F-43m, No. 216
VASP energy = -5.172 eV per atom

Cell and atoms, written as POSCAR:
```
BeSiNi
1.0
0.000 2.613 2.613
2.613 0.000 2.613
2.613 2.613 0.000
Si Be Ni
1 1 1
Direct
0.750 0.750 0.750 Si
0.250 0.250 0.250 Be
0.000 0.000 0.000 Ni
```

9.
Density functional theory data (GGA-PBE) for an optimized crystal structure of BeSiNi2.

Summary:
Energy above the most stable polymorph in this dataset = 0.137 eV per atom
Space group = Pnma, No. 62
VASP energy = -5.473 eV per atom

Cell and atoms, written as POSCAR:
```
BeSiNi2
1.0
-3.506 3.676 -0.906
-3.232 -1.712 5.560
2.711 3.218 2.566
Be Ni Si
4 8 4
Direct
0.293 0.750 0.544 Be
0.793 0.250 0.956 Be
0.207 0.750 0.044 Be
0.707 0.250 0.456 Be
0.970 0.551 0.751 Ni
0.470 0.051 0.749 Ni
0.970 0.949 0.751 Ni
0.030 0.449 0.249 Ni
0.470 0.449 0.749 Ni
0.030 0.051 0.249 Ni
0.530 0.551 0.251 Ni
0.530 0.949 0.251 Ni
0.863 0.750 0.384 Si
0.363 0.250 0.116 Si
0.137 0.250 0.616 Si
0.637 0.750 0.884 Si
```

10.
Density functional theory data (GGA-PBE) for an optimized crystal structure of BeSiNi2.

Summary:
Energy above the most stable polymorph in this dataset = 0.272 eV per atom
Space group = F-43m, No. 216
VASP energy = -5.339 eV per atom

Cell and atoms, written as POSCAR:
```
BeSiNi2
1.0
0.000 2.735 2.735
2.735 0.000 2.735
2.735 2.735 0.000
Be Ni Si
1 2 1
Direct
0.250 0.250 0.250 Be
0.000 0.000 0.000 Ni
0.750 0.750 0.750 Ni
0.500 0.500 0.500 Si
```

11.
Density functional theory data (GGA-PBE) for an optimized crystal structure of BeSiNi2.

Summary:
Energy above the most stable polymorph in this dataset = 0.000 eV per atom
Space group = I4/mmm, No. 139
VASP energy = -5.611 eV per atom

Cell and atoms, written as POSCAR:
```
BeSiNi2
1.0
3.835 0.000 0.000
0.000 5.444 0.000
0.000 0.000 11.515
Be Ni Si
6 12 6
Direct
0.000 0.000 0.333 Be
0.000 0.000 0.000 Be
0.000 0.000 0.667 Be
0.500 0.500 0.167 Be
0.500 0.500 0.833 Be
0.500 0.500 0.500 Be
0.000 0.250 0.500 Ni
0.000 0.750 0.167 Ni
0.500 0.750 0.000 Ni
0.500 0.750 0.333 Ni
0.000 0.750 0.500 Ni
0.000 0.250 0.833 Ni
0.500 0.250 0.000 Ni
0.500 0.250 0.667 Ni
0.500 0.250 0.333 Ni
0.000 0.250 0.167 Ni
0.000 0.750 0.833 Ni
0.500 0.750 0.667 Ni
0.500 0.000 0.167 Si
0.500 0.000 0.833 Si
0.500 0.000 0.500 Si
0.000 0.500 0.333 Si
0.000 0.500 0.667 Si
0.000 0.500 0.000 Si
```

12.
Density functional theory data (GGA-PBE) for an optimized crystal structure of BeSiNi2.

Summary:
Energy above the most stable polymorph in this dataset = 0.122 eV per atom
Space group = P6_3/mmc, No. 194
VASP energy = -5.488 eV per atom

Cell and atoms, written as POSCAR:
```
BeSiNi2
1.0
-1.465 3.042 -1.513
0.162 -0.342 3.681
6.443 3.106 0.005
Ni Be Si
4 2 2
Direct
0.667 0.333 0.415 Ni
0.667 0.333 0.085 Ni
0.333 0.667 0.915 Ni
0.333 0.667 0.585 Ni
0.000 0.000 0.500 Be
0.000 0.000 0.000 Be
0.333 0.667 0.250 Si
0.667 0.333 0.750 Si
```